Entry 1:
First-principles (PBE) data for RbYMgO3 after structural relaxation, as listed in Alexandria via LeMat-Bulk.

Results
N(E_F) (states/eV/cell): 0.00
Formation energy from raw total energies (meV/atom): -2557
SG: No. 11
Calculated total energy (eV/cell): -78.486

Cell and atoms, written as POSCAR:
```
RbYMgO3
1.0
7.5728 0.0000 0.0000
0.0000 3.5880 0.0000
-3.5786 0.0000 8.8224
Rb Y Mg O
2 2 2 6
direct
0.2063 0.2500 0.1816 Rb
0.7937 0.7500 0.8184 Rb
0.3281 0.7500 0.8619 Y
0.6719 0.2500 0.1381 Y
0.0581 0.2500 0.6142 Mg
0.9419 0.7500 0.3858 Mg
0.1167 0.2500 0.8350 O
0.1548 0.7500 0.5910 O
0.4681 0.7500 0.1160 O
0.5319 0.2500 0.8840 O
0.8452 0.2500 0.4090 O
0.8833 0.7500 0.1650 O
```

=====

Entry 2:
First-principles (PBE) data for RbMg2ZrO after structural relaxation, as listed in Alexandria via LeMat-Bulk.

Results
N(E_F) (states/eV/cell): 4.64
Formation energy from raw total energies (meV/atom): 1002
SG: No. 123
Calculated total energy (eV/cell): -12.651

Cell and atoms, written as POSCAR:
```
RbMg2ZrO
1.0
5.8604 0.0000 0.0000
0.0000 5.8604 0.0000
0.0000 0.0000 4.2033
Rb Mg Zr O
1 2 1 1
direct
0.0000 0.0000 0.0000 Rb
0.0000 0.5000 0.0000 Mg
0.5000 0.0000 0.0000 Mg
0.5000 0.5000 0.5000 Zr
0.0000 0.0000 0.5000 O
```

=====

Entry 3:
First-principles (PBE) data for Rb2MgZrO after structural relaxation, as listed in Alexandria via LeMat-Bulk.

Results
N(E_F) (states/eV/cell): 4.59
Formation energy from raw total energies (meV/atom): 33
SG: No. 123
Calculated total energy (eV/cell): -16.870

Cell and atoms, written as POSCAR:
```
Rb2MgZrO
1.0
6.9736 0.0000 0.0000
0.0000 6.9736 0.0000
0.0000 0.0000 3.7096
Rb Mg Zr O
2 1 1 1
direct
0.0000 0.5000 0.0000 Rb
0.5000 0.0000 0.0000 Rb
0.0000 0.0000 0.5000 Mg
0.5000 0.5000 0.5000 Zr
0.0000 0.0000 0.0000 O
```